Record 1
# Mg2BRh2, PBEsol geometry, DFT meta-GGA SCAN
data_Mg2BRh2
_cell_length_a 5.7232
_cell_length_b 5.7232
_cell_length_c 4.2463
_cell_angle_alpha 90.00
_cell_angle_beta 90.00
_cell_angle_gamma 90.00
_symmetry_space_group_name_H-M 'P 4/m b m'
_symmetry_Int_Tables_number 127
_symmetry_space_group_name_Hall '-P 4 2ab'
loop_
_atom_site_label
_atom_site_type_symbol
_atom_site_fract_x
_atom_site_fract_y
_atom_site_fract_z
Mg1 Mg 0.1648 0.3352 0.0000
B1 B 0.0000 0.0000 0.5000
Rh1 Rh 0.1620 0.6620 0.5000
# **Volume**: 139 Å³/cell
# **Formation energy**: -0.561 eV per atom
# **Electronic total energy**: -175.45 eV per cell


Record 2
# MgB2Ru2, PBEsol geometry, DFT meta-GGA SCAN
data_MgB2Ru2
_cell_length_a 6.0733
_cell_length_b 6.0733
_cell_length_c 2.8421
_cell_angle_alpha 90.00
_cell_angle_beta 90.00
_cell_angle_gamma 90.00
_symmetry_space_group_name_H-M 'P 4/m b m'
_symmetry_Int_Tables_number 127
_symmetry_space_group_name_Hall '-P 4 2ab'
loop_
_atom_site_label
_atom_site_type_symbol
_atom_site_fract_x
_atom_site_fract_y
_atom_site_fract_z
Mg1 Mg 0.0000 0.0000 0.0000
B1 B 0.1213 0.3787 0.0000
Ru1 Ru 0.1595 0.6595 0.5000
# **Volume**: 105 Å³/cell
# **Formation energy**: -0.305 eV per atom
# **Electronic total energy**: -182.02 eV per cell


Record 3
# MgB3Sb, PBEsol geometry, DFT meta-GGA SCAN
data_MgB3Sb
_cell_length_a 4.3133
_cell_length_b 4.3133
_cell_length_c 4.3133
_cell_angle_alpha 90.00
_cell_angle_beta 90.00
_cell_angle_gamma 90.00
_symmetry_space_group_name_H-M 'P m -3 m'
_symmetry_Int_Tables_number 221
_symmetry_space_group_name_Hall '-P 4 2 3'
loop_
_atom_site_label
_atom_site_type_symbol
_atom_site_fract_x
_atom_site_fract_y
_atom_site_fract_z
Mg1 Mg 0.0000 0.0000 0.0000
B1 B 0.0000 0.0000 0.5000
Sb1 Sb 0.5000 0.5000 0.5000
# **Volume**: 80 Å³/cell
# **Electronic total energy**: -53.68 eV per cell
# **Raw formation energy**: 2.169 eV per atom


Record 4
# MgB2Sb, PBEsol geometry, DFT meta-GGA SCAN
data_MgB2Sb
_cell_length_a 5.6976
_cell_length_b 5.6976
_cell_length_c 9.0375
_cell_angle_alpha 90.00
_cell_angle_beta 90.00
_cell_angle_gamma 90.00
_symmetry_space_group_name_H-M 'I -4 2 d'
_symmetry_Int_Tables_number 122
_symmetry_space_group_name_Hall 'I -4 2bw'
loop_
_atom_site_label
_atom_site_type_symbol
_atom_site_fract_x
_atom_site_fract_y
_atom_site_fract_z
Mg1 Mg 0.0000 0.0000 0.0000
B1 B 0.2284 0.7500 0.6250
Sb1 Sb 0.0000 0.0000 0.5000
# **Volume**: 293 Å³/cell
# **Electronic total energy**: -212.31 eV per cell
# **Raw formation energy**: 1.004 eV per atom


Record 5
# Mg3ScB, PBEsol geometry, DFT meta-GGA SCAN
data_Mg3ScB
_cell_length_a 4.5871
_cell_length_b 4.5871
_cell_length_c 4.5871
_cell_angle_alpha 90.00
_cell_angle_beta 90.00
_cell_angle_gamma 90.00
_symmetry_space_group_name_H-M 'P m -3 m'
_symmetry_Int_Tables_number 221
_symmetry_space_group_name_Hall '-P 4 2 3'
loop_
_atom_site_label
_atom_site_type_symbol
_atom_site_fract_x
_atom_site_fract_y
_atom_site_fract_z
Mg1 Mg 0.0000 0.0000 0.5000
Sc1 Sc 0.5000 0.5000 0.5000
B1 B 0.0000 0.0000 0.0000
# **Volume**: 97 Å³/cell
# **Formation energy**: 0.299 eV per atom
# **Electronic total energy**: -35.09 eV per cell


Record 6
# Mg2BSe, PBEsol geometry, DFT meta-GGA SCAN
data_Mg2BSe
_cell_length_a 6.7491
_cell_length_b 6.7491
_cell_length_c 6.2766
_cell_angle_alpha 90.00
_cell_angle_beta 90.00
_cell_angle_gamma 90.00
_symmetry_space_group_name_H-M 'I -4 2 d'
_symmetry_Int_Tables_number 122
_symmetry_space_group_name_Hall 'I -4 2bw'
loop_
_atom_site_label
_atom_site_type_symbol
_atom_site_fract_x
_atom_site_fract_y
_atom_site_fract_z
Mg1 Mg 0.2168 0.7500 0.1250
B1 B 0.0000 0.0000 0.0000
Se1 Se 0.0000 0.0000 0.5000
# **Volume**: 286 Å³/cell
# **Electronic total energy**: -147.32 eV per cell
# **Raw formation energy**: 0.157 eV per atom


Record 7
# MgBSe2, PBEsol geometry, DFT meta-GGA SCAN
data_MgBSe2
_cell_length_a 4.0198
_cell_length_b 4.0198
_cell_length_c 19.5881
_cell_angle_alpha 90.00
_cell_angle_beta 90.00
_cell_angle_gamma 120.00
_symmetry_space_group_name_H-M 'R -3 m'
_symmetry_Int_Tables_number 166
_symmetry_space_group_name_Hall '-R 3 2"'
loop_
_atom_site_label
_atom_site_type_symbol
_atom_site_fract_x
_atom_site_fract_y
_atom_site_fract_z
Mg1 Mg 0.0000 0.0000 0.0000
B1 B 0.0000 0.0000 0.5000
Se1 Se 0.0000 0.0000 0.4056
# **Volume**: 274 Å³/cell
# **Excess energy over the best structure of this formula in the dataset**: 0.0000 eV per atom
# **Electronic total energy**: -159.67 eV per cell
# **Raw formation energy**: -0.166 eV per atom


Record 8
# MgB3Se, PBEsol geometry, DFT meta-GGA SCAN
data_MgB3Se
_cell_length_a 4.3591
_cell_length_b 4.3591
_cell_length_c 4.3591
_cell_angle_alpha 90.00
_cell_angle_beta 90.00
_cell_angle_gamma 90.00
_symmetry_space_group_name_H-M 'P m -3 m'
_symmetry_Int_Tables_number 221
_symmetry_space_group_name_Hall '-P 4 2 3'
loop_
_atom_site_label
_atom_site_type_symbol
_atom_site_fract_x
_atom_site_fract_y
_atom_site_fract_z
Mg1 Mg 0.0000 0.0000 0.0000
B1 B 0.0000 0.0000 0.5000
Se1 Se 0.5000 0.5000 0.5000
# **Volume**: 83 Å³/cell
# **Electronic total energy**: -35.70 eV per cell
# **Raw formation energy**: 2.329 eV per atom


Question: What is the electronic total energy in the eighth record?
Answer: -35.70 eV per cell


Question: Which of these has the highest electronic total energy?
Answer: Mg3ScB